The following is a DFT calculation (PBE-GGA) of a relaxed TmCd3Hg2 crystal.

Summary:
D(E_F)   5.5 states/eV/cell
E_form   -0.64 eV/f.u.
Electronic total energy   -16.92 eV per cell
SG   Cmcm (63)

Geometry as POSCAR:
```
TmCd3Hg2
1.0
5.7982 0.0000 0.0000
0.0000 5.8191 -2.9689
0.0000 0.6070 8.3769
Cd Hg Tm
6 4 2
Cartesian
1.4496 3.7632 3.7045 Cd
4.3487 5.3176 3.2353 Cd
1.4496 1.1085 2.1727 Cd
1.4496 0.7906 5.2211 Cd
4.3487 5.6355 0.1869 Cd
4.3487 2.6629 1.7035 Cd
2.8991 1.4493 -0.7395 Hg
2.8991 4.3698 -2.2294 Hg
0.0000 1.4493 -0.7395 Hg
0.0000 4.3698 -2.2294 Hg
4.3487 2.4929 4.8862 Tm
1.4496 3.9331 0.5218 Tm
```